A | This record from the Alexandria database describes a relaxed structure of Na6InAu2. The functional is GGA-PBE.

Cell lengths 4.6405, 5.8683, 10.3867 Å; angles 105.94, 90.00, 113.29 degrees
Closest atoms and distances in Å follow each position.
Atoms (fractional coordinates):
Na: 0.4782 0.9564 0.2607  3 Au 3.13-3.29
Na: 0.2718 0.5436 0.8968  2 Au 3.01, 3 Na 3.29-3.36, 2 In 3.32
Na: 0.1714 0.3427 0.5573  3 Au 3.06-3.13, 3 Na 3.30-3.36
Na: 0.8286 0.6573 0.4427  3 Au 3.06-3.13, 3 Na 3.30-3.36
Na: 0.5218 0.0436 0.7393  3 Au 3.13-3.29
Na: 0.7282 0.4564 0.1032  2 Au 3.01, 3 Na 3.29-3.36, 2 In 3.32
In: 0.0000 0.0000 0.0000  2 Au 2.82
Au: 0.1736 0.3473 0.2634  1 In 2.82, 7 Na 3.01-3.13
Au: 0.8264 0.6527 0.7366  1 In 2.82, 7 Na 3.01-3.13

Summary:
For the total magnetic moment, the calculation gives 0.00 μB per formula unit. For the density of states at the Fermi level, the calculation gives 0.381 states/eV per atom. The space-group type is C2/m.

***

B | This record from the Alexandria database describes a relaxed structure of Na6InAu2. The functional is GGA-PBE.

Cell lengths 5.2883, 5.2883, 10.5461 Å; angles 75.48, 75.48, 60.00 degrees
Closest atoms and distances in Å follow each position.
Atoms (fractional coordinates):
Au: 0.0911 0.0911 0.7268  1 In 2.76, 4 Na 3.01-3.06
Au: 0.9089 0.9089 0.2732  1 In 2.76, 4 Na 3.01-3.06
Na: 0.5803 0.5803 0.2590  3 Au 3.06, 3 Na 3.41
Na: 0.2971 0.2971 0.1088  4 Na 3.23-3.41, 3 In 3.24, 3 Au 3.47
Na: 0.1906 0.1906 0.4283  1 Au 3.01, 1 Na 3.23
Na: 0.4197 0.4197 0.7410  3 Au 3.06, 3 Na 3.41
Na: 0.8094 0.8094 0.5717  1 Au 3.01, 1 Na 3.23
Na: 0.7029 0.7029 0.8912  4 Na 3.23-3.41, 3 In 3.24, 3 Au 3.47
In: 0.0000 0.0000 0.0000  2 Au 2.76

Summary:
For the total magnetic moment, the calculation gives 0.00 μB per formula unit. For the density of states at the Fermi level, the calculation gives 0.362 states/eV per atom. The space-group type is R-3m.

***

Most stable = A